Record 1
VASP calculation (GGA-PBE) on CdH6C10N6Cl2 after structural relaxation.

Calculated density (g cm⁻³): 2.15
Electronic total energy (eV/atom): -6.65

Lattice parameters (Å, degrees): 11.6057 11.6057 7.3217 97.05 97.05 18.10
With the nearest neighbours (Å) after each atom.
Sites, in units of the cell vectors:
C: 0.8625 0.8625 0.4854  1 H 1.09
C: 0.1423 0.1423 0.1493  1 H 1.09
H: 0.8649 0.8649 0.3378  1 C 1.09
C: 0.0864 0.0864 0.3890  1 H 1.09
H: 0.1445 0.1445 0.0016  1 C 1.09
N: 0.9108 0.9108 0.7927  2 C 1.34
N: 0.7059 0.7059 0.8480  1 C 1.17
H: 0.8555 0.8555 0.9984  1 C 1.09
C: 0.7504 0.7504 0.7866  1 N 1.17
H: 0.1351 0.1351 0.6622  1 C 1.09
H: 0.9572 0.9572 0.5667  1 C 1.09
Cl: 0.5428 0.5428 0.7946  2 Cd 2.63
H: 0.0428 0.0428 0.4333  1 C 1.09
Cd: 0.0000 0.0000 0.0000  2 N 2.39, 4 Cl 2.63
C: 0.1930 0.1930 0.2778  1 N 1.35, 2 C 1.40-1.43
C: 0.9136 0.9136 0.6110  1 H 1.09
Cl: 0.4572 0.4572 0.2054  2 Cd 2.63
C: 0.2496 0.2496 0.2134  1 N 1.17
N: 0.1910 0.1910 0.4607  2 C 1.33-1.35
N: 0.2941 0.2941 0.1520  1 C 1.17
N: 0.0892 0.0892 0.2073  2 C 1.34
C: 0.8070 0.8070 0.7222  1 N 1.35, 2 C 1.40-1.43
C: 0.8577 0.8577 0.8507  1 H 1.09
N: 0.8090 0.8090 0.5393  2 C 1.33-1.35
C: 0.1375 0.1375 0.5146  1 H 1.09

Record 2
VASP calculation (GGA-PBE) on CdH14C5N3Cl3 after structural relaxation.

Calculated density (g cm⁻³): 2.01
Electronic total energy (eV/atom): -5.13

Lattice parameters (Å, degrees): 10.3367 10.3367 11.6771 109.70 109.70 85.97
With the nearest neighbours (Å) after each atom.
Sites, in units of the cell vectors:
H: 0.5007 0.0067 0.6755  1 C 1.09
C: 0.4957 0.8973 0.6627  3 H 1.09-1.10
H: 0.2264 0.0654 0.6426  1 C 1.10
H: 0.7489 0.4563 0.8151  1 C 1.10
C: 0.5043 0.1027 0.3373  3 H 1.09-1.10
Cl: 0.8727 0.5934 0.5531  2 Cd 2.56-2.64, 2 H 2.69-2.73
H: 0.7619 0.0521 0.5892  1 N 1.03
H: 0.1829 0.2398 0.6656  1 C 1.10
H: 0.5437 0.2511 0.6849  1 C 1.10
H: 0.4993 0.9933 0.3245  1 C 1.09
H: 0.7736 0.9346 0.3574  1 C 1.10
Cl: 0.5934 0.8727 0.0531  2 Cd 2.56-2.64, 2 H 2.69-2.73
H: 0.6131 0.5941 0.9714  1 C 1.09
H: 0.5791 0.6244 0.2785  1 C 1.10
H: 0.2320 0.4468 0.2786  1 C 1.10
C: 0.1478 0.2117 0.1000  3 H 1.10
H: 0.6429 0.4138 0.9466  1 C 1.10
C: 0.6434 0.8742 0.5325  3 N 1.34-1.35
N: 0.8181 0.6634 0.9179  3 C 1.35-1.46
H: 0.4209 0.3756 0.7215  1 C 1.10
C: 0.1258 0.3566 0.9675  3 N 1.34-1.35
H: 0.3571 0.5862 0.0534  1 C 1.10
C: 0.6689 0.5193 0.0150  3 H 1.09-1.10
C: 0.4807 0.3311 0.4850  3 H 1.09-1.10
N: 0.3366 0.1819 0.5821  3 C 1.35-1.46
C: 0.7343 0.5571 0.8022  3 H 1.10
H: 0.5862 0.3571 0.5534  1 C 1.10
H: 0.3621 0.4737 0.9020  1 C 1.10
H: 0.9790 0.2754 0.7868  1 N 1.03
H: 0.0654 0.2264 0.1426  1 C 1.10
H: 0.8630 0.3878 0.1341  1 C 1.10
H: 0.9479 0.2381 0.9108  1 N 1.03
H: 0.8731 0.8830 0.4922  1 C 1.10
C: 0.5571 0.7343 0.3022  3 H 1.10
H: 0.1269 0.1170 0.5078  1 C 1.10
N: 0.8170 0.5506 0.0619  3 C 1.35-1.46
H: 0.4059 0.3869 0.5286  1 C 1.09
H: 0.3878 0.8630 0.6341  1 C 1.10
C: 0.8742 0.6434 0.0325  3 N 1.34-1.35
H: 0.0210 0.7246 0.2132  1 N 1.03
N: 0.2856 0.0098 0.3827  2 H 1.03
C: 0.5193 0.6689 0.5150  3 H 1.09-1.10
N: 0.4494 0.1830 0.4381  3 C 1.35-1.46
N: 0.6634 0.8181 0.4179  3 C 1.35-1.46
Cd: 0.3317 0.8847 0.9200  5 Cl 2.51-2.64
H: 0.6379 0.5263 0.0980  1 C 1.10
C: 0.1027 0.5043 0.8373  3 H 1.09-1.10
H: 0.7680 0.5532 0.7214  1 C 1.10
H: 0.8171 0.7602 0.3344  1 C 1.10
H: 0.5523 0.8834 0.7560  1 C 1.10
Cl: 0.7607 0.1485 0.9177  2 H 2.22-2.24
H: 0.0521 0.7619 0.0892  1 N 1.03
N: 0.0098 0.2856 0.8827  2 H 1.03
H: 0.0067 0.5007 0.1755  1 C 1.09
H: 0.8834 0.5523 0.2560  1 C 1.10
Cl: 0.1485 0.7607 0.4177  2 H 2.22-2.24
H: 0.2398 0.1829 0.1656  1 C 1.10
H: 0.4563 0.7489 0.3151  1 C 1.10
H: 0.7246 0.0210 0.7132  1 N 1.03
H: 0.2381 0.9479 0.4108  1 N 1.03
H: 0.5941 0.6131 0.4714  1 C 1.09
C: 0.7883 0.8522 0.4000  3 H 1.10
Cd: 0.6683 0.1153 0.0799  5 Cl 2.51-2.64
N: 0.9902 0.7144 0.1173  2 H 1.03
H: 0.5263 0.6379 0.5980  1 C 1.10
Cl: 0.2393 0.8515 0.0823  2 H 2.22-2.24
N: 0.1830 0.4494 0.9381  3 C 1.35-1.46
H: 0.8830 0.8731 0.9922  1 C 1.10
Cl: 0.6499 0.3501 0.2500  2 Cd 2.61, 4 H 2.81-2.91
H: 0.7602 0.8171 0.8344  1 C 1.10
H: 0.4468 0.2320 0.7786  1 C 1.10
H: 0.6122 0.1370 0.3659  1 C 1.10
H: 0.4477 0.1166 0.2440  1 C 1.10
Cd: 0.1153 0.6683 0.5799  5 Cl 2.51-2.64
Cd: 0.8847 0.3317 0.4200  5 Cl 2.51-2.64
H: 0.3869 0.4059 0.0286  1 C 1.09
C: 0.3311 0.4807 0.9850  3 H 1.09-1.10
C: 0.8522 0.7883 0.9000  3 H 1.10
Cl: 0.4066 0.1273 0.9469  2 Cd 2.56-2.64, 2 H 2.69-2.73
H: 0.2511 0.5437 0.1849  1 C 1.10
C: 0.3566 0.1258 0.4675  3 N 1.34-1.35
N: 0.1819 0.3366 0.0821  3 C 1.35-1.46
H: 0.1370 0.6122 0.8659  1 C 1.10
H: 0.4138 0.6429 0.4466  1 C 1.10
H: 0.9933 0.4993 0.8245  1 C 1.09
H: 0.4737 0.3621 0.4020  1 C 1.10
Cl: 0.9026 0.0974 0.2500  2 Cd 2.60
N: 0.5506 0.8170 0.5619  3 C 1.35-1.46
C: 0.2117 0.1478 0.6000  3 H 1.10
Cl: 0.3501 0.6499 0.7500  2 Cd 2.61, 4 H 2.81-2.91
N: 0.7144 0.9902 0.6173  2 H 1.03
Cl: 0.1273 0.4066 0.4469  2 Cd 2.56-2.64, 2 H 2.69-2.73
C: 0.8973 0.4957 0.1627  3 H 1.09-1.10
H: 0.6244 0.5791 0.7785  1 C 1.10
C: 0.4429 0.2657 0.6978  3 H 1.10
H: 0.3756 0.4209 0.2215  1 C 1.10
Cl: 0.0974 0.9026 0.7500  2 Cd 2.60
H: 0.9346 0.7736 0.8574  1 C 1.10
C: 0.2657 0.4429 0.1978  3 H 1.10
H: 0.2754 0.9790 0.2868  1 N 1.03
H: 0.5532 0.7680 0.2214  1 C 1.10
Cl: 0.8515 0.2393 0.5823  2 H 2.22-2.24
H: 0.1170 0.1269 0.0078  1 C 1.10
H: 0.1166 0.4477 0.7440  1 C 1.10

Record 3
VASP calculation (GGA-PBE) on CdH24C18N4Cl2 after structural relaxation.

Calculated density (g cm⁻³): 1.76
Electronic total energy (eV/atom): -5.95

Lattice parameters (Å, degrees): 9.0009 9.0009 12.3178 107.61 107.61 86.25
With the nearest neighbours (Å) after each atom.
Sites, in units of the cell vectors:
H: 0.7670 0.0363 0.2849  1 C 1.11
C: 0.3517 0.8594 0.8550  2 H 1.10
H: 0.0363 0.7670 0.7849  1 C 1.11
C: 0.5206 0.7062 0.5064  1 H 1.09
H: 0.7797 0.7304 0.6775  1 C 1.10
C: 0.3813 0.7370 0.4310  1 H 1.09
H: 0.0804 0.2427 0.0614  1 C 1.09
C: 0.5878 0.2852 0.2192  2 H 1.10
C: 0.6187 0.2630 0.5690  1 H 1.09
H: 0.8404 0.6202 0.5529  1 C 1.11
H: 0.1663 0.6771 0.5715  1 C 1.10
Cl: 0.9878 0.7614 0.3682  3 H 2.39-2.65, 1 Cd 2.61
N: 0.8310 0.3739 0.8632  2 C 1.34
H: 0.5208 0.6319 0.5618  1 C 1.09
H: 0.3798 0.1596 0.9471  1 C 1.11
C: 0.8594 0.3517 0.3550  2 H 1.10
H: 0.1596 0.3798 0.4471  1 C 1.11
H: 0.7308 0.3095 0.5746  1 C 1.09
H: 0.2427 0.0804 0.5614  1 C 1.09
H: 0.5487 0.2534 0.2860  1 C 1.10
H: 0.2534 0.5487 0.7860  1 C 1.10
C: 0.0765 0.7952 0.7169  1 H 1.11
C: 0.2852 0.5878 0.7192  2 H 1.10
H: 0.0336 0.1417 0.4341  1 N 1.03
H: 0.3095 0.7308 0.0746  1 C 1.09
H: 0.8583 0.9664 0.0659  1 N 1.03
N: 0.1690 0.6261 0.1368  2 C 1.34
H: 0.0502 0.5549 0.6036  1 C 1.10
H: 0.6905 0.2692 0.9254  1 C 1.09
N: 0.6261 0.1690 0.6368  2 C 1.34
C: 0.3399 0.2258 0.4861  3 C 1.40-1.50
H: 0.6319 0.5208 0.0618  1 C 1.09
C: 0.4794 0.2938 0.4936  1 H 1.09
C: 0.2258 0.3399 0.9861  3 C 1.40-1.50
C: 0.5077 0.8913 0.3656  1 H 1.09
H: 0.7466 0.4513 0.2140  1 C 1.10
H: 0.6739 0.5160 0.3373  1 C 1.10
C: 0.1087 0.4923 0.1344  1 H 1.09
H: 0.4513 0.7466 0.7140  1 C 1.10
C: 0.8665 0.6524 0.9394  1 H 1.09
H: 0.8337 0.3229 0.4285  1 C 1.10
H: 0.4840 0.3261 0.1627  1 C 1.10
Cl: 0.0122 0.2386 0.6318  3 H 2.39-2.65, 1 Cd 2.61
C: 0.4923 0.1087 0.6344  1 H 1.09
H: 0.4451 0.9498 0.8964  1 C 1.10
H: 0.2692 0.6905 0.4254  1 C 1.09
H: 0.4792 0.3681 0.4382  1 C 1.09
C: 0.7148 0.4122 0.2808  2 H 1.10
C: 0.6524 0.8665 0.4394  1 H 1.09
C: 0.8913 0.5077 0.8656  1 H 1.09
H: 0.1417 0.0336 0.9341  1 N 1.03
H: 0.9498 0.4451 0.3964  1 C 1.10
C: 0.1335 0.3476 0.0606  1 H 1.09
H: 0.6771 0.1663 0.0715  1 C 1.10
Cd: 0.8846 0.1154 0.7500  4 N 2.43-2.46, 2 Cl 2.61
H: 0.2203 0.2696 0.3225  1 C 1.10
C: 0.7952 0.0765 0.2169  1 H 1.11
N: 0.1491 0.0624 0.8606  1 H 1.03
C: 0.4122 0.7148 0.7808  2 H 1.10
C: 0.7370 0.3813 0.9310  1 H 1.09
H: 0.9664 0.8583 0.5659  1 N 1.03
H: 0.9637 0.2330 0.2151  1 C 1.11
C: 0.2630 0.6187 0.0690  1 H 1.09
C: 0.7379 0.8069 0.0979  2 H 1.10-1.11
C: 0.2621 0.1931 0.9021  2 H 1.10-1.11
C: 0.7742 0.6601 0.0139  3 C 1.40-1.50
Cl: 0.2386 0.0122 0.1318  3 H 2.39-2.65, 1 Cd 2.61
H: 0.0355 0.5045 0.1929  1 C 1.09
C: 0.6483 0.1406 0.1450  2 H 1.10
H: 0.3229 0.8337 0.9285  1 C 1.10
H: 0.5549 0.0502 0.1036  1 C 1.10
H: 0.5045 0.0355 0.6929  1 C 1.09
C: 0.6601 0.7742 0.5139  3 C 1.40-1.50
H: 0.9645 0.4955 0.8071  1 C 1.09
C: 0.7062 0.5206 0.0064  1 H 1.09
C: 0.9235 0.2048 0.2831  1 H 1.11
C: 0.1931 0.2621 0.4021  2 H 1.10-1.11
C: 0.1406 0.6483 0.6450  2 H 1.10
H: 0.7573 0.9196 0.4386  1 C 1.09
C: 0.8069 0.7379 0.5979  2 H 1.10-1.11
H: 0.6202 0.8404 0.0529  1 C 1.11
C: 0.2048 0.9235 0.7831  1 H 1.11
N: 0.8509 0.9376 0.1394  1 H 1.03
Cd: 0.1154 0.8846 0.2500  4 N 2.43-2.46, 2 Cl 2.61
H: 0.5160 0.6739 0.8373  1 C 1.10
Cl: 0.7614 0.9878 0.8682  3 H 2.39-2.65, 1 Cd 2.61
H: 0.7304 0.7797 0.1775  1 C 1.10
H: 0.9196 0.7573 0.9386  1 C 1.09
H: 0.4955 0.9645 0.3071  1 C 1.09
N: 0.9376 0.8509 0.6394  1 H 1.03
N: 0.3739 0.8310 0.3632  2 C 1.34
C: 0.2938 0.4794 0.9936  1 H 1.09
H: 0.2330 0.9637 0.7151  1 C 1.11
C: 0.3476 0.1335 0.5606  1 H 1.09
H: 0.3261 0.4840 0.6627  1 C 1.10
N: 0.0624 0.1491 0.3606  1 H 1.03
H: 0.2696 0.2203 0.8225  1 C 1.10
H: 0.3681 0.4792 0.9382  1 C 1.09

Record 4
VASP calculation (GGA-PBE) on CdH6C8N6Cl2 after structural relaxation.

Calculated density (g cm⁻³): 2.16
Electronic total energy (eV/atom): -6.51

Lattice parameters (Å, degrees): 3.7037 6.5494 11.7793 86.34 85.51 86.61
With the nearest neighbours (Å) after each atom.
Sites, in units of the cell vectors:
C: 0.7347 0.7489 0.9686  1 N 1.17
C: 0.8218 0.5975 0.7749  1 H 1.09
Cd: 0.0000 0.5000 0.5000  2 N 2.33
H: 0.7052 0.4493 0.7908  1 C 1.09
N: 0.6378 0.7453 0.0655  1 C 1.17
N: 0.0399 0.3403 0.3284  1 C 1.33, 1 N 1.35
H: 0.2948 0.5507 0.2092  1 C 1.09
C: 0.2653 0.2511 0.0314  1 N 1.17
H: 0.9064 0.9395 0.1894  1 C 1.09
N: 0.0751 0.8496 0.6808  1 H 1.03
N: 0.9601 0.6597 0.6716  1 C 1.33, 1 N 1.35
C: 0.1782 0.4025 0.2251  1 H 1.09
C: 0.8493 0.7526 0.8517  3 C 1.40-1.42
H: 0.2019 0.9267 0.6118  1 N 1.03
H: 0.7981 0.0733 0.3882  1 N 1.03
N: 0.3622 0.2547 0.9345  1 C 1.17
C: 0.0147 0.9128 0.7869  1 H 1.09
C: 0.1507 0.2474 0.1483  3 C 1.40-1.42
H: 0.0936 0.0605 0.8106  1 C 1.09
Cl: 0.5107 0.2390 0.5780  2 H 2.40-2.67, 2 Cd 2.64-2.65
Cl: 0.4893 0.7610 0.4220  2 H 2.40-2.67, 2 Cd 2.64-2.65
N: 0.9249 0.1504 0.3192  1 H 1.03
C: 0.9853 0.0872 0.2131  1 H 1.09

Record 5
VASP calculation (GGA-PBE) on CdH7C5N3Cl2O3 after structural relaxation.

Calculated density (g cm⁻³): 2.40
Electronic total energy (eV/atom): -5.96

Lattice parameters (Å, degrees): 6.8480 7.6553 9.9523 98.46 97.67 111.05
With the nearest neighbours (Å) after each atom.
Sites, in units of the cell vectors:
Cd: 0.7305 0.5101 0.9241  1 O 2.33, 1 N 2.38, 1 Cl 2.56
C: 0.8470 0.6166 0.6425  1 N 1.32, 1 C 1.44
O: 0.3929 0.6516 0.5267  1 C 1.28
O: 0.6071 0.3484 0.4733  1 C 1.28
C: 0.0894 0.8632 0.8204  1 H 1.09
N: 0.9197 0.6961 0.7762  2 C 1.32-1.35
N: 0.0803 0.3039 0.2238  2 C 1.32-1.35
O: 0.2839 0.0315 0.3956  2 H 0.98-1.02
H: 0.2472 0.4834 0.6254  1 N 1.03
C: 0.6589 0.4271 0.6020  2 O 1.26-1.28
C: 0.3411 0.5729 0.3980  2 O 1.26-1.28
H: 0.5813 0.8465 0.5756  1 O 1.02
H: 0.2059 0.9422 0.5135  1 N 1.09
Cl: 0.4992 0.2797 0.0555  2 Cd 2.56-2.63
C: 0.0499 0.2911 0.4590  2 N 1.33-1.36, 1 C 1.44
C: 0.1946 0.9538 0.7257  1 H 1.09
Cd: 0.2695 0.4899 0.0759  1 O 2.33, 1 N 2.38, 1 Cl 2.56
N: 0.8868 0.6409 0.4051  2 H 1.03
C: 0.9106 0.1368 0.1796  1 H 1.09
H: 0.4187 0.1535 0.4244  1 O 1.02
C: 0.1530 0.3834 0.3575  1 N 1.32, 1 C 1.44
C: 0.8054 0.0461 0.2743  1 H 1.09
Cl: 0.5008 0.7203 0.9445  2 Cd 2.56-2.63
H: 0.2772 0.9590 0.3043  1 O 0.98
H: 0.9601 0.7068 0.3324  1 N 1.03
H: 0.1428 0.9212 0.9314  1 C 1.09
O: 0.5661 0.3567 0.6945  1 C 1.26
H: 0.3340 0.0882 0.7539  1 C 1.09
N: 0.1132 0.3591 0.5949  2 H 1.03
N: 0.8752 0.1256 0.4100  1 H 1.09
O: 0.7161 0.9685 0.6044  2 H 0.98-1.02
H: 0.6660 0.9118 0.2461  1 C 1.09
H: 0.7528 0.5166 0.3746  1 N 1.03
N: 0.1248 0.8744 0.5900  1 H 1.09
H: 0.8572 0.0788 0.0686  1 C 1.09
C: 0.9501 0.7089 0.5410  2 N 1.33-1.36, 1 C 1.44
Cl: 0.9471 0.2754 0.8743  2 H 2.24-2.26
Cl: 0.0529 0.7246 0.1257  2 H 2.24-2.26
H: 0.7228 0.0410 0.6957  1 O 0.98
O: 0.4339 0.6433 0.3055  1 C 1.26
H: 0.0399 0.2932 0.6676  1 N 1.03
H: 0.7941 0.0578 0.4865  1 N 1.09

Record 6
VASP calculation (GGA-PBE) on CdH14C15S2N3Cl after structural relaxation.

Calculated density (g cm⁻³): 1.83
Electronic total energy (eV/atom): -6.20

Lattice parameters (Å, degrees): 9.1576 9.2051 10.7999 72.18 74.53 72.84
With the nearest neighbours (Å) after each atom.
Sites, in units of the cell vectors:
C: 0.5265 0.3155 0.7251  1 H 1.09
H: 0.8674 0.6710 0.9842  1 C 1.09
Cd: 0.7969 0.5811 0.5611  2 N 2.33-2.36, 1 S 2.54, 2 Cl 2.59-2.60
H: 0.2254 0.7970 0.0923  1 C 1.09
S: 0.7268 0.6315 0.7910  1 C 1.73
H: 0.6834 0.9302 0.2482  1 C 1.10
H: 0.7514 0.4148 0.1309  1 C 1.09
H: 0.2794 0.0847 0.9185  1 C 1.10
C: 0.9569 0.2759 0.9474  1 H 1.09
C: 0.6822 0.1174 0.5354  3 H 1.09-1.10
H: 0.3161 0.9535 0.3624  1 C 1.10
H: 0.1163 0.0027 0.7031  1 C 1.09
H: 0.1298 0.5927 0.6829  1 C 1.09
C: 0.1580 0.8082 0.0190  1 H 1.09
H: 0.5101 0.4020 0.8938  1 C 1.09
C: 0.4349 0.2188 0.2392  1 N 1.33
C: 0.7574 0.4862 0.3018  1 H 1.09
H: 0.8837 0.9973 0.2969  1 C 1.09
C: 0.9825 0.8384 0.8338  1 H 1.09
H: 0.6401 0.2361 0.7329  1 C 1.09
N: 0.3120 0.4249 0.6117  2 C 1.34-1.36
H: 0.7206 0.9153 0.0815  1 C 1.10
H: 0.9137 0.8497 0.7614  1 C 1.09
H: 0.8702 0.4073 0.3171  1 C 1.09
H: 0.2486 0.5852 0.8691  1 C 1.09
C: 0.6911 0.4902 0.1984  1 H 1.09
C: 0.4531 0.3251 0.6235  1 N 1.36, 2 C 1.40-1.48
C: 0.6925 0.9976 0.1446  2 H 1.10
H: 0.9790 0.3512 0.8478  1 C 1.09
C: 0.5469 0.6749 0.3765  1 N 1.36, 2 C 1.40-1.48
H: 0.7746 0.2030 0.9077  1 C 1.09
C: 0.4538 0.4085 0.8147  1 H 1.09
H: 0.0210 0.6488 0.1522  1 C 1.09
N: 0.5484 0.7468 0.5679  1 C 1.31, 1 N 1.35
C: 0.0442 0.2620 0.0403  1 H 1.09
Cl: 0.9706 0.2986 0.5787  2 Cd 2.59-2.60, 2 H 2.71-2.75
S: 0.5001 0.8865 0.8828  2 C 1.75-1.82
S: 0.2732 0.3685 0.2090  1 C 1.73
C: 0.8420 0.1918 0.9810  1 H 1.09
Cd: 0.2031 0.4189 0.4389  2 N 2.33-2.36, 1 S 2.54, 2 Cl 2.59-2.60
S: 0.4999 0.1135 0.1172  2 C 1.75-1.82
N: 0.6880 0.5751 0.3883  2 C 1.34-1.36
H: 0.2232 0.8206 0.4929  1 C 1.10
C: 0.4721 0.7703 0.4744  1 N 1.31
C: 0.8132 0.0921 0.1075  3 C 1.40-1.50
H: 0.7768 0.1794 0.5071  1 C 1.10
C: 0.9558 0.7380 0.9597  1 H 1.09
C: 0.2425 0.5138 0.6982  1 H 1.09
C: 0.9026 0.0775 0.1993  1 H 1.09
N: 0.5131 0.1731 0.3370  1 C 1.33, 1 N 1.35
H: 0.2944 0.9596 0.5306  1 C 1.09
H: 0.7056 0.0404 0.4694  1 C 1.09
C: 0.3075 0.0024 0.8554  2 H 1.10
C: 0.1868 0.9079 0.8925  3 C 1.40-1.50
N: 0.4869 0.8269 0.6630  1 C 1.33, 1 N 1.35
H: 0.6839 0.0465 0.6376  1 C 1.10
H: 0.3599 0.7639 0.2671  1 C 1.09
H: 0.0863 0.1503 0.2386  1 C 1.09
C: 0.5651 0.7812 0.7608  1 N 1.33
H: 0.4899 0.5980 0.1062  1 C 1.09
N: 0.4516 0.2532 0.4321  1 C 1.31, 1 N 1.35
C: 0.3089 0.5098 0.8016  1 H 1.09
C: 0.4735 0.6845 0.2749  1 H 1.09
H: 0.1326 0.3290 0.0158  1 C 1.09
C: 0.0974 0.9225 0.8007  1 H 1.09
C: 0.0431 0.7241 0.0526  1 H 1.09
C: 0.5279 0.2297 0.5256  1 N 1.31
C: 0.5462 0.5915 0.1853  1 H 1.09
C: 0.0175 0.1616 0.1662  1 H 1.09
Cl: 0.0294 0.7014 0.4213  2 Cd 2.59-2.60, 2 H 2.71-2.75
H: 0.3166 0.0698 0.7518  1 C 1.10
C: 0.3178 0.8826 0.4646  3 H 1.09-1.10